1.
# CsAs2PBr (PBE-GGA, optimized geometry)
data_CsAs2PBr
_chemical_formula_sum 'Cs1 As2 P1 Br1'
_cell_length_a 4.778
_cell_length_b 4.778
_cell_length_c 8.553
_cell_angle_alpha 90.00
_cell_angle_beta 90.00
_cell_angle_gamma 90.00
_space_group_name_H-M_alt 'P 1'
_space_group_IT_number 1
loop_
_space_group_symop_operation_xyz
'x,y,z'
loop_
_atom_site_label
_atom_site_type_symbol
_atom_site_fract_x
_atom_site_fract_y
_atom_site_fract_z
As1 As 0.000 0.500 0.000
Br1 Br 0.000 0.000 0.500
As2 As 0.500 0.000 0.000
Cs1 Cs 0.500 0.500 0.500
P1 P 0.000 0.000 0.000
# energy relative to the elements, uncorrected	-0.02	eV per atom
# M_tot	0.000	Bohr magnetons per cell
# E	-3.472	eV per atom
# volume	195.24	Å³/cell
# SG	P4/mmm (123)
# ΔE to the lowest computed polymorph	0.000	eV/atom



2.
# CsAs2PbBr (PBE-GGA, optimized geometry)
data_CsAs2PbBr
_chemical_formula_sum 'Cs1 As2 Pb1 Br1'
_cell_length_a 5.544
_cell_length_b 5.544
_cell_length_c 6.381
_cell_angle_alpha 90.00
_cell_angle_beta 90.00
_cell_angle_gamma 90.00
_space_group_name_H-M_alt 'P 1'
_space_group_IT_number 1
loop_
_space_group_symop_operation_xyz
'x,y,z'
loop_
_atom_site_label
_atom_site_type_symbol
_atom_site_fract_x
_atom_site_fract_y
_atom_site_fract_z
Pb1 Pb 0.000 0.000 0.000
As1 As 0.000 0.500 0.000
Cs1 Cs 0.500 0.500 0.500
Br1 Br 0.000 0.000 0.500
As2 As 0.500 0.000 0.000
# energy relative to the elements, uncorrected	-0.01	eV per atom
# M_tot	1.530	Bohr magnetons per cell
# E	-3.121	eV per atom
# volume	196.12	Å³/cell
# SG	P4/mmm (123)
# ΔE to the lowest computed polymorph	0.000	eV/atom



3.
# CsAs2PbBr (PBE-GGA, optimized geometry)
data_CsAs2PbBr
_chemical_formula_sum 'Cs1 As2 Pb1 Br1'
_cell_length_a 5.852
_cell_length_b 5.852
_cell_length_c 6.243
_cell_angle_alpha 90.00
_cell_angle_beta 90.00
_cell_angle_gamma 90.00
_space_group_name_H-M_alt 'P 1'
_space_group_IT_number 1
loop_
_space_group_symop_operation_xyz
'x,y,z'
loop_
_atom_site_label
_atom_site_type_symbol
_atom_site_fract_x
_atom_site_fract_y
_atom_site_fract_z
As1 As 0.000 0.500 0.000
Br1 Br 0.000 0.000 0.500
Pb1 Pb 0.500 0.500 0.500
As2 As 0.500 0.000 0.000
Cs1 Cs 0.000 0.000 0.000
# energy relative to the elements, uncorrected	0.94	eV per atom
# M_tot	1.496	Bohr magnetons per cell
# E	-2.170	eV per atom
# volume	213.81	Å³/cell
# SG	P4/mmm (123)
# ΔE to the lowest computed polymorph	0.951	eV/atom



4.
# CsAsPbBr2 (PBE-GGA, optimized geometry)
data_CsAsPbBr2
_chemical_formula_sum 'Cs1 As1 Pb1 Br2'
_cell_length_a 6.076
_cell_length_b 6.076
_cell_length_c 5.759
_cell_angle_alpha 90.00
_cell_angle_beta 90.00
_cell_angle_gamma 90.00
_space_group_name_H-M_alt 'P 1'
_space_group_IT_number 1
loop_
_space_group_symop_operation_xyz
'x,y,z'
loop_
_atom_site_label
_atom_site_type_symbol
_atom_site_fract_x
_atom_site_fract_y
_atom_site_fract_z
Br1 Br 0.500 0.000 0.000
Br2 Br 0.000 0.500 0.000
As1 As 0.000 0.000 0.500
Cs1 Cs 0.500 0.500 0.500
Pb1 Pb 0.000 0.000 0.000
# energy relative to the elements, uncorrected	-0.59	eV per atom
# M_tot	1.671	Bohr magnetons per cell
# E	-3.105	eV per atom
# volume	212.60	Å³/cell
# SG	P4/mmm (123)



5.
# Cs2AsPdBr6 (PBE-GGA, optimized geometry)
data_Cs2AsPdBr6
_chemical_formula_sum 'Cs2 As1 Pd1 Br6'
_cell_length_a 7.689
_cell_length_b 7.689
_cell_length_c 7.666
_cell_angle_alpha 59.90
_cell_angle_beta 59.90
_cell_angle_gamma 90.00
_space_group_name_H-M_alt 'P 1'
_space_group_IT_number 1
loop_
_space_group_symop_operation_xyz
'x,y,z'
loop_
_atom_site_label
_atom_site_type_symbol
_atom_site_fract_x
_atom_site_fract_y
_atom_site_fract_z
Br1 Br 0.750 0.250 0.000
Br2 Br 0.250 0.750 0.000
Cs1 Cs 0.750 0.250 0.500
As1 As 0.500 0.500 0.000
Br3 Br 0.250 0.250 0.000
Pd1 Pd 0.000 0.000 0.000
Cs2 Cs 0.250 0.750 0.500
Br4 Br 0.750 0.750 0.000
Br5 Br 0.249 0.249 0.502
Br6 Br 0.751 0.751 0.498
# energy relative to the elements, uncorrected	-0.92	eV per atom
# M_tot	0.000	Bohr magnetons per cell
# E	-3.081	eV per atom
# volume	319.50	Å³/cell
# SG	I4/mmm (139)



6.
# CsAsPdBr2 (PBE-GGA, optimized geometry)
data_CsAsPdBr2
_chemical_formula_sum 'Cs1 As1 Pd1 Br2'
_cell_length_a 5.733
_cell_length_b 5.733
_cell_length_c 4.736
_cell_angle_alpha 90.00
_cell_angle_beta 90.00
_cell_angle_gamma 90.00
_space_group_name_H-M_alt 'P 1'
_space_group_IT_number 1
loop_
_space_group_symop_operation_xyz
'x,y,z'
loop_
_atom_site_label
_atom_site_type_symbol
_atom_site_fract_x
_atom_site_fract_y
_atom_site_fract_z
As1 As 0.000 0.000 0.500
Br1 Br 0.000 0.500 0.000
Br2 Br 0.500 0.000 0.000
Pd1 Pd 0.000 0.000 0.000
Cs1 Cs 0.500 0.500 0.500
# energy relative to the elements, uncorrected	-0.50	eV per atom
# M_tot	0.669	Bohr magnetons per cell
# E	-3.310	eV per atom
# volume	155.65	Å³/cell
# SG	P4/mmm (123)
# ΔE to the lowest computed polymorph	0.000	eV/atom



7.
# CsAsPdBr2 (PBE-GGA, optimized geometry)
data_CsAsPdBr2
_chemical_formula_sum 'Cs1 As1 Pd1 Br2'
_cell_length_a 6.494
_cell_length_b 6.494
_cell_length_c 6.125
_cell_angle_alpha 90.00
_cell_angle_beta 90.00
_cell_angle_gamma 90.00
_space_group_name_H-M_alt 'P 1'
_space_group_IT_number 1
loop_
_space_group_symop_operation_xyz
'x,y,z'
loop_
_atom_site_label
_atom_site_type_symbol
_atom_site_fract_x
_atom_site_fract_y
_atom_site_fract_z
Br1 Br 0.500 0.000 0.000
As1 As 0.000 0.000 0.500
Pd1 Pd 0.500 0.500 0.500
Cs1 Cs 0.000 0.000 0.000
Br2 Br 0.000 0.500 0.000
# energy relative to the elements, uncorrected	0.83	eV per atom
# M_tot	3.322	Bohr magnetons per cell
# E	-1.983	eV per atom
# volume	258.31	Å³/cell
# SG	P4/mmm (123)
# ΔE to the lowest computed polymorph	1.326	eV/atom



8.
# CsAs2PtBr (PBE-GGA, optimized geometry)
data_CsAs2PtBr
_chemical_formula_sum 'Cs1 As2 Pt1 Br1'
_cell_length_a 6.138
_cell_length_b 6.138
_cell_length_c 6.381
_cell_angle_alpha 90.00
_cell_angle_beta 90.00
_cell_angle_gamma 90.00
_space_group_name_H-M_alt 'P 1'
_space_group_IT_number 1
loop_
_space_group_symop_operation_xyz
'x,y,z'
loop_
_atom_site_label
_atom_site_type_symbol
_atom_site_fract_x
_atom_site_fract_y
_atom_site_fract_z
Pt1 Pt 0.500 0.500 0.500
As1 As 0.500 0.000 0.000
As2 As 0.000 0.500 0.000
Br1 Br 0.000 0.000 0.500
Cs1 Cs 0.000 0.000 0.000
# energy relative to the elements, uncorrected	1.83	eV per atom
# M_tot	3.818	Bohr magnetons per cell
# E	-1.741	eV per atom
# volume	240.40	Å³/cell
# SG	P4/mmm (123)
# ΔE to the lowest computed polymorph	2.047	eV/atom



9.
# Cs2AsPtBr6 (PBE-GGA, optimized geometry)
data_Cs2AsPtBr6
_chemical_formula_sum 'Cs2 As1 Pt1 Br6'
_cell_length_a 7.686
_cell_length_b 7.686
_cell_length_c 7.659
_cell_angle_alpha 59.88
_cell_angle_beta 59.88
_cell_angle_gamma 90.00
_space_group_name_H-M_alt 'P 1'
_space_group_IT_number 1
loop_
_space_group_symop_operation_xyz
'x,y,z'
loop_
_atom_site_label
_atom_site_type_symbol
_atom_site_fract_x
_atom_site_fract_y
_atom_site_fract_z
Br1 Br 0.754 0.754 0.000
Br2 Br 0.246 0.246 0.000
Br3 Br 0.754 0.246 0.000
Pt1 Pt 0.000 0.000 0.000
Cs1 Cs 0.250 0.750 0.500
Br4 Br 0.246 0.754 0.000
As1 As 0.500 0.500 0.000
Br5 Br 0.245 0.245 0.510
Br6 Br 0.755 0.755 0.490
Cs2 Cs 0.750 0.250 0.500
# energy relative to the elements, uncorrected	-0.84	eV per atom
# M_tot	0.000	Bohr magnetons per cell
# E	-3.087	eV per atom
# volume	318.78	Å³/cell
# SG	I4/mmm (139)



10.
# CsAs2PtBr (PBE-GGA, optimized geometry)
data_CsAs2PtBr
_chemical_formula_sum 'Cs1 As2 Pt1 Br1'
_cell_length_a 4.791
_cell_length_b 4.791
_cell_length_c 9.192
_cell_angle_alpha 90.00
_cell_angle_beta 90.00
_cell_angle_gamma 90.00
_space_group_name_H-M_alt 'P 1'
_space_group_IT_number 1
loop_
_space_group_symop_operation_xyz
'x,y,z'
loop_
_atom_site_label
_atom_site_type_symbol
_atom_site_fract_x
_atom_site_fract_y
_atom_site_fract_z
Br1 Br 0.000 0.000 0.500
Cs1 Cs 0.500 0.500 0.500
As1 As 0.000 0.500 0.000
Pt1 Pt 0.000 0.000 0.000
As2 As 0.500 0.000 0.000
# energy relative to the elements, uncorrected	-0.22	eV per atom
# M_tot	0.000	Bohr magnetons per cell
# E	-3.789	eV per atom
# volume	211.00	Å³/cell
# SG	P4/mmm (123)
# ΔE to the lowest computed polymorph	0.000	eV/atom



11.
# Cs2AsPtBr (PBE-GGA, optimized geometry)
data_Cs2AsPtBr
_chemical_formula_sum 'Cs2 As1 Pt1 Br1'
_cell_length_a 6.928
_cell_length_b 6.928
_cell_length_c 4.577
_cell_angle_alpha 90.00
_cell_angle_beta 90.00
_cell_angle_gamma 90.00
_space_group_name_H-M_alt 'P 1'
_space_group_IT_number 1
loop_
_space_group_symop_operation_xyz
'x,y,z'
loop_
_atom_site_label
_atom_site_type_symbol
_atom_site_fract_x
_atom_site_fract_y
_atom_site_fract_z
Br1 Br 0.500 0.500 0.500
Cs1 Cs 0.500 0.000 0.000
As1 As 0.000 0.000 0.500
Pt1 Pt 0.000 0.000 0.000
Cs2 Cs 0.000 0.500 0.000
# energy relative to the elements, uncorrected	-0.79	eV per atom
# M_tot	0.000	Bohr magnetons per cell
# E	-3.599	eV per atom
# volume	219.66	Å³/cell
# SG	P4/mmm (123)



12.
# CsRbAsBr2 (PBE-GGA, optimized geometry)
data_CsRbAsBr2
_chemical_formula_sum 'Cs1 Rb1 As1 Br2'
_cell_length_a 6.552
_cell_length_b 6.552
_cell_length_c 6.479
_cell_angle_alpha 90.00
_cell_angle_beta 90.00
_cell_angle_gamma 90.00
_space_group_name_H-M_alt 'P 1'
_space_group_IT_number 1
loop_
_space_group_symop_operation_xyz
'x,y,z'
loop_
_atom_site_label
_atom_site_type_symbol
_atom_site_fract_x
_atom_site_fract_y
_atom_site_fract_z
Rb1 Rb 0.000 0.000 0.000
As1 As 0.000 0.000 0.500
Br1 Br 0.500 0.000 0.000
Cs1 Cs 0.500 0.500 0.500
Br2 Br 0.000 0.500 0.000
# energy relative to the elements, uncorrected	-0.59	eV per atom
# M_tot	3.058	Bohr magnetons per cell
# E	-2.551	eV per atom
# volume	278.13	Å³/cell
# SG	P4/mmm (123)
# ΔE to the lowest computed polymorph	0.000	eV/atom



13.
# Cs2RbAsBr6 (PBE-GGA, optimized geometry)
data_Cs2RbAsBr6
_chemical_formula_sum 'Cs2 Rb1 As1 Br6'
_cell_length_a 8.395
_cell_length_b 8.395
_cell_length_c 8.395
_cell_angle_alpha 60.00
_cell_angle_beta 60.00
_cell_angle_gamma 60.00
_space_group_name_H-M_alt 'P 1'
_space_group_IT_number 1
loop_
_space_group_symop_operation_xyz
'x,y,z'
loop_
_atom_site_label
_atom_site_type_symbol
_atom_site_fract_x
_atom_site_fract_y
_atom_site_fract_z
Br1 Br 0.775 0.225 0.225
Rb1 Rb 0.500 0.500 0.500
Cs1 Cs 0.250 0.250 0.250
As1 As 0.000 0.000 0.000
Br2 Br 0.775 0.225 0.775
Br3 Br 0.225 0.775 0.775
Br4 Br 0.775 0.775 0.225
Br5 Br 0.225 0.225 0.775
Cs2 Cs 0.750 0.750 0.750
Br6 Br 0.225 0.775 0.225
# energy relative to the elements, uncorrected	-1.24	eV per atom
# M_tot	0.000	Bohr magnetons per cell
# E	-2.978	eV per atom
# volume	418.43	Å³/cell
# SG	Fm-3m (225)
# ΔE to the lowest computed polymorph	0.016	eV/atom